Entry 1:
DFT (PBE) results for a geometry-optimized ZrHIr3 structure.

Structure (extended XYZ):
```
10
Lattice="3.7952 2.1911 2.7100 -3.7952 2.1911 2.7100 0.0000 -4.3823 2.7100" Properties=species:S:1:pos:R:3 pbc="T T T"
Zr 0.0000 0.0000 0.0000
Zr 0.0000 0.0000 4.0649
H 0.0000 0.0000 2.0325
H 0.0000 0.0000 6.0974
Ir -2.7048 -0.3025 3.3874
Ir -1.0904 -2.4937 4.7424
Ir 1.6144 -2.1911 3.3874
Ir -1.6144 2.1911 4.7424
Ir 1.0904 2.4937 3.3874
Ir 2.7048 0.3025 4.7424
```

Space group: R-3c (167)
Magnetic moment in μB/f.u.: 0.0
E in eV/atom: -7.937
Relative energy among the computed polymorphs in meV per atom: 303



Entry 2:
DFT (PBE) results for a geometry-optimized ZrHIr3 structure.

Structure (extended XYZ):
```
5
Lattice="2.6207 1.5131 4.4839 -2.6207 1.5131 4.4839 0.0000 -3.0261 4.4839" Properties=species:S:1:pos:R:3 pbc="T T T"
Zr 0.0000 0.0000 0.0000
H 0.0000 0.0000 3.2245
Ir -1.2785 -0.7381 11.1202
Ir 1.2785 -0.7381 11.1202
Ir 0.0000 1.4762 11.1202
```

Space group: R3m (160)
Magnetic moment in μB/f.u.: 1.2
E in eV/atom: -7.051
Relative energy among the computed polymorphs in meV per atom: 1189



Entry 3:
DFT (PBE) results for a geometry-optimized ZrH3Ir structure.

Structure (extended XYZ):
```
5
Lattice="3.5758 0.0000 0.0000 0.0000 3.5758 0.0000 0.0000 0.0000 3.5758" Properties=species:S:1:pos:R:3 pbc="T T T"
Zr 0.0000 0.0000 0.0000
H 0.0000 1.7879 1.7879
H 1.7879 0.0000 1.7879
H 1.7879 1.7879 0.0000
Ir 1.7879 1.7879 1.7879
```

Space group: Pm-3m (221)
Magnetic moment in μB/f.u.: 0.0
E in eV/atom: -5.732



Entry 4:
DFT (PBE) results for a geometry-optimized ZrHIr3 structure.

Structure (extended XYZ):
```
5
Lattice="3.8504 0.0000 0.0000 0.0000 3.8504 0.0000 0.0000 0.0000 6.2478" Properties=species:S:1:pos:R:3 pbc="T T T"
Zr 0.0000 0.0000 0.0000
H 1.9252 1.9252 2.0269
Ir 0.0000 0.0000 3.7423
Ir 0.0000 1.9252 1.9567
Ir 1.9252 0.0000 1.9567
```

Space group: P4mm (99)
Magnetic moment in μB/f.u.: 0.0
E in eV/atom: -7.261
Relative energy among the computed polymorphs in meV per atom: 979



Entry 5:
DFT (PBE) results for a geometry-optimized ZrHIr3 structure.

Structure (extended XYZ):
```
10
Lattice="2.9946 0.0000 0.0000 -1.4973 2.5934 0.0000 0.0000 0.0000 17.9362" Properties=species:S:1:pos:R:3 pbc="T T T"
Zr 0.0000 0.0000 0.0000
Zr 0.0000 0.0000 8.9681
H 0.0000 1.7290 4.4841
H 1.4973 0.8645 13.4522
Ir 0.0000 0.0000 4.4841
Ir 0.0000 0.0000 13.4522
Ir 0.0000 1.7290 2.2041
Ir 0.0000 1.7290 6.7640
Ir 1.4973 0.8645 11.1722
Ir 1.4973 0.8645 15.7321
```

Space group: P6_3/mmc (194)
Magnetic moment in μB/f.u.: 0.0
E in eV/atom: -7.552
Relative energy among the computed polymorphs in meV per atom: 688



Entry 6:
DFT (PBE) results for a geometry-optimized ZrHIr3 structure.

Structure (extended XYZ):
```
20
Lattice="6.2671 -4.8422 0.0000 6.2671 4.8422 0.0000 -0.7740 0.0000 4.8008" Properties=species:S:1:pos:R:3 pbc="T T T"
Zr 2.2632 1.1263 1.7355
Zr 1.8762 -1.1263 4.1359
Zr 9.8841 1.1263 0.6649
Zr 9.4971 -1.1263 3.0654
H 6.0736 2.1376 1.2002
H 5.6866 2.1253 3.6006
H 6.0736 -2.1253 1.2002
H 5.6866 -2.1376 3.6006
Ir 4.8505 3.6378 0.9289
Ir 3.4669 1.3309 4.4997
Ir 7.2968 3.6378 1.4715
Ir 5.0913 1.0826 2.2905
Ir 7.0559 1.0826 0.1099
Ir 3.8539 -1.3309 2.0993
Ir 7.9063 1.3309 2.7015
Ir 4.7043 -1.0826 4.6909
Ir 6.6689 -1.0826 2.5103
Ir 4.4635 -3.6378 3.3293
Ir 8.2933 -1.3309 0.3011
Ir 6.9098 -3.6378 3.8719
```

Space group: C2/c (15)
Magnetic moment in μB/f.u.: 0.0
E in eV/atom: -7.799
Relative energy among the computed polymorphs in meV per atom: 441



Entry 7:
DFT (PBE) results for a geometry-optimized ZrHIr3 structure.

Structure (extended XYZ):
```
10
Lattice="4.7079 0.0000 0.0000 0.0000 5.7518 0.0000 -0.0456 0.0000 4.9889" Properties=species:S:1:pos:R:3 pbc="T T T"
Zr 1.1530 1.4380 0.8507
Zr 3.5093 4.3139 4.1382
H 0.4103 1.4380 3.8432
H 4.2519 4.3139 1.1457
Ir 1.2098 2.9363 3.2979
Ir 1.2098 5.6914 3.2979
Ir 1.2959 4.3139 0.9098
Ir 3.3664 1.4380 4.0791
Ir 3.4524 0.0604 1.6910
Ir 3.4524 2.8155 1.6910
```

Space group: P2_1/m (11)
Magnetic moment in μB/f.u.: 0.0
E in eV/atom: -8.070
Relative energy among the computed polymorphs in meV per atom: 170



Entry 8:
DFT (PBE) results for a geometry-optimized ZrHIr3 structure.

Structure (extended XYZ):
```
10
Lattice="-2.5432 2.5432 9.7912 2.5432 -2.5432 9.7912 2.5432 2.5432 -9.7912" Properties=species:S:1:pos:R:3 pbc="T T T"
Zr 0.0000 0.0000 0.0000
Zr 0.0000 2.5432 4.8956
H 2.5432 0.0000 4.4913
H 2.5432 0.0000 5.3000
Ir 0.0000 0.0000 4.3239
Ir 0.0000 1.3621 2.2017
Ir 0.0000 0.0000 15.2586
Ir 0.0000 3.7242 2.2017
Ir -1.1811 2.5432 7.5896
Ir 1.1811 2.5432 7.5896
```

Space group: I-4m2 (119)
Magnetic moment in μB/f.u.: 0.2
E in eV/atom: -6.505
Relative energy among the computed polymorphs in meV per atom: 1735



Entry 9:
DFT (PBE) results for a geometry-optimized ZrHIr3 structure.

Structure (extended XYZ):
```
10
Lattice="4.0914 0.0000 0.0000 0.0000 5.6734 0.0000 -0.0024 0.0000 5.6640" Properties=species:S:1:pos:R:3 pbc="T T T"
Zr 0.0000 0.0000 0.0000
Zr -0.0011 2.8367 2.7945
H 2.0414 0.0000 5.2311
H 2.2532 2.8367 0.2667
Ir 4.0895 0.0000 2.7959
Ir 0.0125 2.8367 5.6179
Ir 2.0375 1.3930 1.4195
Ir 2.0375 4.2804 1.4195
Ir 2.0397 1.4490 4.1778
Ir 2.0397 4.2244 4.1778
```

Space group: Pm (6)
Magnetic moment in μB/f.u.: 0.0
E in eV/atom: -8.234
Relative energy among the computed polymorphs in meV per atom: 6



Entry 10:
DFT (PBE) results for a geometry-optimized KH3 structure.

Structure (extended XYZ):
```
4
Lattice="-1.9008 1.9008 3.7558 1.9008 -1.9008 3.7558 1.9008 1.9008 -3.7558" Properties=species:S:1:pos:R:3 pbc="T T T"
K 0.0000 0.0000 0.0000
H 0.0000 0.0000 2.7108
H 0.0000 0.0000 3.7558
H 0.0000 0.0000 4.8009
```

Space group: I4/mmm (139)
Magnetic moment in μB/f.u.: 0.0
E in eV/atom: -2.791
Relative energy among the computed polymorphs in meV per atom: 15



Entry 11:
DFT (PBE) results for a geometry-optimized K3H structure.

Structure (extended XYZ):
```
4
Lattice="3.8634 0.0000 0.0000 0.0000 4.0884 0.0000 0.0000 0.0000 11.3996" Properties=species:S:1:pos:R:3 pbc="T T T"
K 0.0000 0.0000 0.0000
K 0.0000 2.0442 3.3535
K 1.9317 2.0442 7.5753
H 1.9317 0.0000 2.2365
```

Space group: Pmm2 (25)
Magnetic moment in μB/f.u.: 0.0
E in eV/atom: -1.639
Relative energy among the computed polymorphs in meV per atom: 29



Entry 12:
DFT (PBE) results for a geometry-optimized KH structure.

Structure (extended XYZ):
```
2
Lattice="0.0000 3.0648 3.0648 3.0648 0.0000 3.0648 3.0648 3.0648 0.0000" Properties=species:S:1:pos:R:3 pbc="T T T"
K 0.0000 0.0000 0.0000
H 1.5324 1.5324 1.5324
```

Space group: F-43m (216)
Magnetic moment in μB/f.u.: 0.0
E in eV/atom: -2.374



Entry 13:
DFT (PBE) results for a geometry-optimized KH structure.

Structure (extended XYZ):
```
8
Lattice="-4.6299 4.6299 2.7794 4.6299 -4.6299 2.7794 4.6299 4.6299 -2.7794" Properties=species:S:1:pos:R:3 pbc="T T T"
K 6.0086 1.3788 0.0000
K 1.3788 3.2511 0.0000
K 3.2511 1.3788 2.7794
K -1.3788 3.2511 2.7794
H 3.2699 1.3599 0.0000
H 3.2699 -1.3599 2.7794
H 1.3599 5.9898 0.0000
H 1.3599 3.2699 2.7794
```

Space group: I4/mcm (140)
Magnetic moment in μB/f.u.: 0.0
E in eV/atom: -2.397



Entry 14:
DFT (PBE) results for a geometry-optimized KH structure.

Structure (extended XYZ):
```
8
Lattice="-4.1608 4.1608 4.1608 4.1608 -4.1608 4.1608 4.1608 4.1608 -4.1608" Properties=species:S:1:pos:R:3 pbc="T T T"
K 1.3583 1.3583 -1.3583
K 1.3583 -1.3583 1.3583
K -1.3583 1.3583 1.3583
K 2.8025 2.8025 2.8025
H 2.8356 2.8356 -2.8356
H 2.8356 -2.8356 2.8356
H 1.3252 1.3252 1.3252
H -2.8356 2.8356 2.8356
```

Space group: I-43m (217)
Magnetic moment in μB/f.u.: 0.0
E in eV/atom: -2.355



Entry 15:
DFT (PBE) results for a geometry-optimized KH structure.

Structure (extended XYZ):
```
12
Lattice="7.5035 0.0000 0.0000 0.0000 7.5035 0.0000 0.0000 0.0000 7.5035" Properties=species:S:1:pos:R:3 pbc="T T T"
K 0.0000 1.8759 3.7517
K 0.0000 5.6276 3.7517
K 1.8759 3.7517 0.0000
K 3.7517 0.0000 1.8759
K 3.7517 0.0000 5.6276
K 5.6276 3.7517 0.0000
H 0.0000 3.7517 1.8759
H 0.0000 3.7517 5.6276
H 1.8759 0.0000 3.7517
H 3.7517 1.8759 0.0000
H 3.7517 5.6276 0.0000
H 5.6276 0.0000 3.7517
```

Space group: Pm-3n (223)
Magnetic moment in μB/f.u.: 0.0
E in eV/atom: -2.368



Entry 16:
DFT (PBE) results for a geometry-optimized KH3 structure.

Structure (extended XYZ):
```
4
Lattice="-2.0439 2.0439 3.1112 2.0439 -2.0439 3.1112 2.0439 2.0439 -3.1112" Properties=species:S:1:pos:R:3 pbc="T T T"
K 0.0000 0.0000 0.0000
H 2.0439 0.0000 1.5556
H 0.0000 0.0000 3.1112
H 0.0000 2.0439 1.5556
```

Space group: I4/mmm (139)
Magnetic moment in μB/f.u.: 1.0
E in eV/atom: -1.854
Relative energy among the computed polymorphs in meV per atom: 952



Entry 17:
DFT (PBE) results for a geometry-optimized K6H5 structure.

Structure (extended XYZ):
```
11
Lattice="3.5235 -6.0852 0.0000 3.5235 6.0852 0.0000 -2.3758 0.0000 6.6240" Properties=species:S:1:pos:R:3 pbc="T T T"
K -0.0737 2.1087 4.9516
K 1.0646 0.0000 1.7437
K -0.0737 -2.1087 4.9516
K 4.7450 2.1087 1.6723
K 3.6067 0.0000 4.8802
K 4.7450 -2.1087 1.6723
H -1.1879 0.0000 3.3120
H 3.5235 4.0571 0.0000
H 2.3356 2.0429 3.3120
H 2.3356 -2.0429 3.3120
H 3.5235 -4.0571 0.0000
```

Space group: C2/m (12)
Magnetic moment in μB/f.u.: 1.0
E in eV/atom: -2.267



Entry 18:
DFT (PBE) results for a geometry-optimized K5H structure.

Structure (extended XYZ):
```
6
Lattice="2.0941 -11.9338 0.0000 2.0941 11.9338 0.0000 0.0000 0.0000 7.4932" Properties=species:S:1:pos:R:3 pbc="T T T"
K 0.0000 0.0000 0.0000
K 2.0941 10.0128 3.7466
K 2.0941 4.0382 0.0000
K 2.0941 -4.0382 0.0000
K 2.0941 -10.0128 3.7466
H 2.0941 0.0000 3.7466
```

Space group: Cmmm (65)
Magnetic moment in μB/f.u.: 0.0
E in eV/atom: -1.387



Entry 19:
DFT (PBE) results for a geometry-optimized K3H structure.

Structure (extended XYZ):
```
4
Lattice="-1.9191 6.3215 3.7182 1.9191 -6.3215 3.7182 1.9191 6.3215 -3.7182" Properties=species:S:1:pos:R:3 pbc="T T T"
K 0.0000 0.0000 0.0000
K 1.9191 4.4119 -0.4324
K 0.0000 1.9096 3.2858
H 1.9191 0.0000 2.1799
```

Space group: Imm2 (44)
Magnetic moment in μB/f.u.: 0.0
E in eV/atom: -1.667
Relative energy among the computed polymorphs in meV per atom: 0



Entry 20:
DFT (PBE) results for a geometry-optimized KH3 structure.

Structure (extended XYZ):
```
8
Lattice="2.6166 -3.3611 0.0000 2.6166 3.3611 0.0000 0.0000 0.0000 6.7693" Properties=species:S:1:pos:R:3 pbc="T T T"
K 0.0000 0.0000 0.0000
K 2.6166 0.0000 3.3846
H 0.0000 0.0000 3.3846
H 2.6166 2.6135 4.1186
H 2.6166 0.7476 0.7339
H 2.6166 0.0000 0.0000
H 2.6166 -0.7476 6.0353
H 2.6166 -2.6135 2.6507
```

Space group: Cmce (64)
Magnetic moment in μB/f.u.: 0.0
E in eV/atom: -2.806
Relative energy among the computed polymorphs in meV per atom: 0



Entry 21:
DFT (PBE) results for a geometry-optimized KH structure.

Structure (extended XYZ):
```
4
Lattice="4.6865 0.0000 0.0000 -2.3433 4.0587 0.0000 0.0000 0.0000 5.5917" Properties=species:S:1:pos:R:3 pbc="T T T"
K 0.0000 2.7058 1.3979
K 2.3433 1.3529 4.1938
H 0.0000 2.7058 4.1938
H 2.3433 1.3529 1.3979
```

Space group: P6_3/mmc (194)
Magnetic moment in μB/f.u.: 0.0
E in eV/atom: -2.409



Entry 22:
DFT (PBE) results for a geometry-optimized KH structure.

Structure (extended XYZ):
```
2
Lattice="0.0000 2.8121 2.8121 2.8121 0.0000 2.8121 2.8121 2.8121 0.0000" Properties=species:S:1:pos:R:3 pbc="T T T"
K 0.0000 0.0000 0.0000
H 2.8121 2.8121 2.8121
```

Space group: Fm-3m (225)
Magnetic moment in μB/f.u.: 0.0
E in eV/atom: -2.438



Entry 23:
DFT (PBE) results for a geometry-optimized KLa3H structure.

Structure (extended XYZ):
```
5
Lattice="5.4134 0.0000 0.0000 0.0000 5.4134 0.0000 0.0000 0.0000 5.4134" Properties=species:S:1:pos:R:3 pbc="T T T"
K 0.0000 0.0000 0.0000
La 0.0000 2.7067 2.7067
La 2.7067 0.0000 2.7067
La 2.7067 2.7067 0.0000
H 2.7067 2.7067 2.7067
```

Space group: Pm-3m (221)
Magnetic moment in μB/f.u.: 0.0
E in eV/atom: -3.688
Relative energy among the computed polymorphs in meV per atom: 0



Entry 24:
DFT (PBE) results for a geometry-optimized KLa3H structure.

Structure (extended XYZ):
```
5
Lattice="5.8064 0.0000 0.0000 0.0000 5.8064 0.0000 0.0000 0.0000 5.8064" Properties=species:S:1:pos:R:3 pbc="T T T"
K 0.0000 0.0000 0.0000
La 0.0000 0.0000 2.9032
La 0.0000 2.9032 0.0000
La 2.9032 0.0000 0.0000
H 2.9032 2.9032 2.9032
```

Space group: Pm-3m (221)
Magnetic moment in μB/f.u.: 0.0
E in eV/atom: -2.345
Relative energy among the computed polymorphs in meV per atom: 1344